# 1
A geometry-optimized Zr2PaBeN4 structure. Source: the Alexandria database, functional PBE-GGA.

Summary:
ΔE_f (raw)	-1436	meV/atom
DOS(E_F)	19.1	states/eV per cell

```
data_Zr2PaBeN4
_chemical_formula_sum 'Zr8 Pa4 Be4 N16'
_cell_length_a 3.2189
_cell_length_b 10.8078
_cell_length_c 10.8982
_cell_angle_alpha 90.00
_cell_angle_beta 90.00
_cell_angle_gamma 90.00
_symmetry_space_group_name_H-M 'C m c m'
_symmetry_Int_Tables_number 63
_symmetry_space_group_name_Hall '-C 2c 2'
loop_
_atom_site_label
_atom_site_type_symbol
_atom_site_fract_x
_atom_site_fract_y
_atom_site_fract_z
Zr1 Zr 0.0000 0.1313 0.0512
Pa1 Pa 0.0000 0.3984 0.2500
Be1 Be 0.0000 0.3305 0.7500
N1 N 0.0000 0.0743 0.2500
N2 N 0.0000 0.2321 0.6281
N3 N 0.0000 0.5000 0.0000
```


# 2
A geometry-optimized ZrPa2BeN5 structure. Source: the Alexandria database, functional PBE-GGA.

Summary:
ΔE_f (raw)	-1409	meV/atom
DOS(E_F)	7.6	states/eV per cell

```
data_ZrPa2BeN5
_chemical_formula_sum 'Zr4 Pa8 Be4 N20'
_cell_length_a 3.2701
_cell_length_b 13.2011
_cell_length_c 10.0202
_cell_angle_alpha 90.00
_cell_angle_beta 90.00
_cell_angle_gamma 90.00
_symmetry_space_group_name_H-M 'C m c 21'
_symmetry_Int_Tables_number 36
loop_
_symmetry_equiv_pos_as_xyz
'x,y,z'
'-x,-y,z+1/2'
'-x,y,z'
'x,-y,z+1/2'
'x+1/2,y+1/2,z'
'-x+1/2,-y+1/2,z+1/2'
'-x+1/2,y+1/2,z'
'x+1/2,-y+1/2,z+1/2'
loop_
_atom_site_label
_atom_site_type_symbol
_atom_site_fract_x
_atom_site_fract_y
_atom_site_fract_z
Zr1 Zr 0.0000 0.1862 0.0000
Pa1 Pa 0.0000 0.1217 0.6824
Pa2 Pa 0.0000 0.1303 0.3072
Be1 Be 0.0000 0.4932 0.9809
N1 N 0.0000 0.0248 0.0431
N2 N 0.0000 0.2979 0.6564
N3 N 0.0000 0.3059 0.3456
N4 N 0.0000 0.3552 0.0100
N5 N 0.0000 0.4897 0.7977
```


# 3
A geometry-optimized BePbN2 structure. Source: the Alexandria database, functional PBE-GGA.

Summary:
ΔE_f (raw)	1611	meV/atom
DOS(E_F)	10.0	states/eV per cell
E above lowest polymorph	1473	meV/atom

```
data_BePbN2
_chemical_formula_sum 'Be4 Pb4 N8'
_cell_length_a 5.6939
_cell_length_b 5.6939
_cell_length_c 5.6939
_cell_angle_alpha 90.00
_cell_angle_beta 90.00
_cell_angle_gamma 90.00
_symmetry_space_group_name_H-M 'F m -3 m'
_symmetry_Int_Tables_number 225
_symmetry_space_group_name_Hall '-F 4 2 3'
loop_
_atom_site_label
_atom_site_type_symbol
_atom_site_fract_x
_atom_site_fract_y
_atom_site_fract_z
Be1 Be 0.0000 0.0000 0.0000
Pb1 Pb 0.0000 0.0000 0.5000
N1 N 0.2500 0.2500 0.2500
```


# 4
A geometry-optimized BePbN3 structure. Source: the Alexandria database, functional PBE-GGA.

Summary:
ΔE_f (raw)	2656	meV/atom
DOS(E_F)	3.1	states/eV per cell

```
data_BePbN3
_chemical_formula_sum 'Be1 Pb1 N3'
_cell_length_a 4.2905
_cell_length_b 4.2905
_cell_length_c 4.2905
_cell_angle_alpha 90.00
_cell_angle_beta 90.00
_cell_angle_gamma 90.00
_symmetry_space_group_name_H-M 'P m -3 m'
_symmetry_Int_Tables_number 221
_symmetry_space_group_name_Hall '-P 4 2 3'
loop_
_atom_site_label
_atom_site_type_symbol
_atom_site_fract_x
_atom_site_fract_y
_atom_site_fract_z
Be1 Be 0.0000 0.0000 0.0000
Pb1 Pb 0.5000 0.5000 0.5000
N1 N 0.0000 0.5000 0.5000
```


# 5
A geometry-optimized Be2PbN structure. Source: the Alexandria database, functional PBE-GGA.

Summary:
ΔE_f (raw)	1574	meV/atom
DOS(E_F)	12.2	states/eV per cell
E above lowest polymorph	1766	meV/atom

```
data_Be2PbN
_chemical_formula_sum 'Be8 Pb4 N4'
_cell_length_a 6.0152
_cell_length_b 6.0152
_cell_length_c 6.0152
_cell_angle_alpha 90.00
_cell_angle_beta 90.00
_cell_angle_gamma 90.00
_symmetry_space_group_name_H-M 'F m -3 m'
_symmetry_Int_Tables_number 225
_symmetry_space_group_name_Hall '-F 4 2 3'
loop_
_atom_site_label
_atom_site_type_symbol
_atom_site_fract_x
_atom_site_fract_y
_atom_site_fract_z
Be1 Be 0.2500 0.2500 0.2500
Pb1 Pb 0.0000 0.0000 0.0000
N1 N 0.0000 0.0000 0.5000
```


# 6
A geometry-optimized BePbN3 structure. Source: the Alexandria database, functional PBE-GGA.

Summary:
ΔE_f (raw)	1426	meV/atom
DOS(E_F)	2.3	states/eV per cell

```
data_BePbN3
_chemical_formula_sum 'Be1 Pb1 N3'
_cell_length_a 3.7281
_cell_length_b 3.7281
_cell_length_c 3.7281
_cell_angle_alpha 90.00
_cell_angle_beta 90.00
_cell_angle_gamma 90.00
_symmetry_space_group_name_H-M 'P m -3 m'
_symmetry_Int_Tables_number 221
_symmetry_space_group_name_Hall '-P 4 2 3'
loop_
_atom_site_label
_atom_site_type_symbol
_atom_site_fract_x
_atom_site_fract_y
_atom_site_fract_z
Be1 Be 0.0000 0.0000 0.0000
Pb1 Pb 0.5000 0.5000 0.5000
N1 N 0.0000 0.0000 0.5000
```


# 7
A geometry-optimized BePbN2 structure. Source: the Alexandria database, functional PBE-GGA.

Summary:
ΔE_f (raw)	379	meV/atom
DOS(E_F)	0.1	states/eV per cell
E above lowest polymorph	241	meV/atom

```
data_BePbN2
_chemical_formula_sum 'Be3 Pb3 N6'
_cell_length_a 3.5077
_cell_length_b 3.5077
_cell_length_c 16.1572
_cell_angle_alpha 90.00
_cell_angle_beta 90.00
_cell_angle_gamma 120.00
_symmetry_space_group_name_H-M 'R -3 m'
_symmetry_Int_Tables_number 166
_symmetry_space_group_name_Hall '-R 3 2"'
loop_
_atom_site_label
_atom_site_type_symbol
_atom_site_fract_x
_atom_site_fract_y
_atom_site_fract_z
Be1 Be 0.0000 0.0000 0.0000
Pb1 Pb 0.0000 0.0000 0.5000
N1 N 0.0000 0.0000 0.0949
```


# 8
A geometry-optimized Be3PbN structure. Source: the Alexandria database, functional PBE-GGA.

Summary:
ΔE_f (raw)	381	meV/atom
DOS(E_F)	2.3	states/eV per cell
E above lowest polymorph	0	meV/atom

```
data_Be3PbN
_chemical_formula_sum 'Be3 Pb1 N1'
_cell_length_a 3.8353
_cell_length_b 3.8353
_cell_length_c 3.8353
_cell_angle_alpha 90.00
_cell_angle_beta 90.00
_cell_angle_gamma 90.00
_symmetry_space_group_name_H-M 'P m -3 m'
_symmetry_Int_Tables_number 221
_symmetry_space_group_name_Hall '-P 4 2 3'
loop_
_atom_site_label
_atom_site_type_symbol
_atom_site_fract_x
_atom_site_fract_y
_atom_site_fract_z
Be1 Be 0.0000 0.0000 0.5000
Pb1 Pb 0.5000 0.5000 0.5000
N1 N 0.0000 0.0000 0.0000
```


# 9
A geometry-optimized Be3PbN structure. Source: the Alexandria database, functional PBE-GGA.

Summary:
ΔE_f (raw)	2166	meV/atom
DOS(E_F)	2.6	states/eV per cell
E above lowest polymorph	1785	meV/atom

```
data_Be3PbN
_chemical_formula_sum 'Be3 Pb1 N1'
_cell_length_a 4.5782
_cell_length_b 4.5782
_cell_length_c 4.5782
_cell_angle_alpha 90.00
_cell_angle_beta 90.00
_cell_angle_gamma 90.00
_symmetry_space_group_name_H-M 'P m -3 m'
_symmetry_Int_Tables_number 221
_symmetry_space_group_name_Hall '-P 4 2 3'
loop_
_atom_site_label
_atom_site_type_symbol
_atom_site_fract_x
_atom_site_fract_y
_atom_site_fract_z
Be1 Be 0.0000 0.0000 0.5000
Pb1 Pb 0.0000 0.0000 0.0000
N1 N 0.5000 0.5000 0.5000
```


# 10
A geometry-optimized Be2PbN structure. Source: the Alexandria database, functional PBE-GGA.

Summary:
ΔE_f (raw)	-192	meV/atom
DOS(E_F)	3.8	states/eV per cell
E above lowest polymorph	0	meV/atom

```
data_Be2PbN
_chemical_formula_sum 'Be8 Pb4 N4'
_cell_length_a 5.4156
_cell_length_b 5.4156
_cell_length_c 7.6940
_cell_angle_alpha 90.00
_cell_angle_beta 90.00
_cell_angle_gamma 90.00
_symmetry_space_group_name_H-M 'I -4 2 d'
_symmetry_Int_Tables_number 122
_symmetry_space_group_name_Hall 'I -4 2bw'
loop_
_atom_site_label
_atom_site_type_symbol
_atom_site_fract_x
_atom_site_fract_y
_atom_site_fract_z
Be1 Be 0.0362 0.2500 0.1250
Pb1 Pb 0.0000 0.0000 0.5000
N1 N 0.0000 0.0000 0.0000
```


# 11
A geometry-optimized BePbN2 structure. Source: the Alexandria database, functional PBE-GGA.

Summary:
ΔE_f (raw)	139	meV/atom
DOS(E_F)	0.0	states/eV per cell
E above lowest polymorph	0	meV/atom

```
data_BePbN2
_chemical_formula_sum 'Be4 Pb4 N8'
_cell_length_a 4.6028
_cell_length_b 4.6028
_cell_length_c 9.1756
_cell_angle_alpha 90.00
_cell_angle_beta 90.00
_cell_angle_gamma 90.00
_symmetry_space_group_name_H-M 'I -4 2 d'
_symmetry_Int_Tables_number 122
_symmetry_space_group_name_Hall 'I -4 2bw'
loop_
_atom_site_label
_atom_site_type_symbol
_atom_site_fract_x
_atom_site_fract_y
_atom_site_fract_z
Be1 Be 0.0000 0.0000 0.0000
Pb1 Pb 0.0000 0.0000 0.5000
N1 N 0.1717 0.2500 0.1250
```


# 12
A geometry-optimized BePtPb2N structure. Source: the Alexandria database, functional PBE-GGA.

Summary:
ΔE_f (raw)	191	meV/atom
DOS(E_F)	3.3	states/eV per cell

```
data_BePtPb2N
_chemical_formula_sum 'Be1 Pt1 Pb2 N1'
_cell_length_a 5.4978
_cell_length_b 5.4978
_cell_length_c 3.0663
_cell_angle_alpha 90.00
_cell_angle_beta 90.00
_cell_angle_gamma 90.00
_symmetry_space_group_name_H-M 'P 4/m m m'
_symmetry_Int_Tables_number 123
_symmetry_space_group_name_Hall '-P 4 2'
loop_
_atom_site_label
_atom_site_type_symbol
_atom_site_fract_x
_atom_site_fract_y
_atom_site_fract_z
Be1 Be 0.0000 0.0000 0.0000
Pt1 Pt 0.5000 0.5000 0.5000
Pb1 Pb 0.0000 0.5000 0.0000
N1 N 0.0000 0.0000 0.5000
```